Entry i
NdErH2 | PBE | optimized geometry

a b c (Å): 3.5373 3.5373 6.1020
angles (deg): 73.15 73.15 60.00
Fractional positions:
H: 0.7425 0.7425 0.7724
H: 0.2575 0.2575 0.2276
Nd: 0.5000 0.5000 0.5000
Er: 0.0000 0.0000 0.0000

Values from the calculation:
The volume comes out at 62 Å³ per cell. Its calculated density is 8.36 g/cm3. Its space group is R-3m.

Entry ii
NdErH2 | PBE | optimized geometry

a b c (Å): 3.5310 3.5310 6.3310
angles (deg): 73.81 73.81 60.00
Fractional positions:
Nd: 0.4902 0.4902 0.5293
Er: 0.6692 0.6692 0.9924
H: 0.0697 0.0697 0.7910
H: 0.2709 0.2709 0.1873

Values from the calculation:
The volume comes out at 65 Å³ per cell. Its calculated density is 8.04 g/cm3. Its space group is R3m.

According to the calculations, the structures order from most to least stable as entry i, entry ii.